{
  "formula": "YTmThPa",
  "functional": "GGA-PBE",
  "state": "optimized geometry",
  "cell": [[0.000, 3.919, 3.919], [3.919, 0.000, 3.919], [3.919, 3.919, 0.000]],
  "species": ["Y", "Tm", "Th", "Pa"],
  "fractional_positions": [[0.000, 0.000, 0.000], [0.250, 0.250, 0.250], [0.750, 0.750, 0.750], [0.500, 0.500, 0.500]],
  "total_magnetization_mub_per_atom": 0.3953,
  "total_energy_ev_per_atom": -6.61,
  "n_ef_per_ev_fu": 12.5
}